1.
# Ca2AlFeIr

A relaxed structure of Ca2AlFeIr (PBE, the Alexandria database).

Lattice parameters (Å, degrees): 5.435 5.435 4.314 90.00 90.00 90.00
Space group P4/mmm (No. 123)
Unique sites:
Ca1 0.000 0.500 0.000 [2 per cell]
Al1 0.000 0.000 0.000 [1 per cell]
Fe1 0.000 0.000 0.500 [1 per cell]
Ir1 0.500 0.500 0.500 [1 per cell]

Output
Formation energy from the elements = 0.92 eV per atom

***

2.
# CaLa2AlFe

A relaxed structure of CaLa2AlFe (PBE, the Alexandria database).

Lattice parameters (Å, degrees): 5.305 5.305 4.975 90.00 90.00 90.00
Space group P4/mmm (No. 123)
Unique sites:
Ca1 0.000 0.000 0.000 [1 per cell]
La1 0.000 0.500 0.500 [2 per cell]
Al1 0.500 0.500 0.000 [1 per cell]
Fe1 0.500 0.500 0.500 [1 per cell]

Output
Formation energy from the elements = -0.06 eV per atom

***

3.
# CaLaAl2Fe

A relaxed structure of CaLaAl2Fe (PBE, the Alexandria database).

Lattice parameters (Å, degrees): 4.868 4.868 4.927 90.00 90.00 90.00
Space group P4/mmm (No. 123)
Unique sites:
Ca1 0.000 0.000 0.000 [1 per cell]
La1 0.500 0.500 0.000 [1 per cell]
Al1 0.000 0.500 0.500 [2 per cell]
Fe1 0.500 0.500 0.500 [1 per cell]

Output
Formation energy from the elements = -0.15 eV per atom

***

Calculated density (computed, Mg/m³): 4.63; 4.75; 4.11